Entry 1:
Material: MgAs2Pd4
Method: DFT, PBE-GGA
State: relaxed

Output
Crystal system: triclinic
Energy relative to the lowest polymorph listed for this composition, eV/atom: 0.000

abc: 5.3320 7.1113 7.2724
angles: 113.71 107.59 97.63
Closest atoms and distances in Å follow each position.
Space group P1 (No. 1)
One atom of each set of equivalent atoms:
Mg  0.0000  0.0000  0.0000 x1  8 Pd 2.66-2.90
Mg  0.4646  0.7435  0.5420 x1  7 Pd 2.60-2.78
As  0.1471  0.5773  0.8990 x1  5 Pd 2.51-2.61
As  0.5156  0.2003  0.6915 x1  6 Pd 2.49-2.79
As  0.7450  0.2673  0.3199 x1  6 Pd 2.55-2.68
As  0.9172  0.7964  0.2977 x1  6 Pd 2.56-2.76
Pd  0.2607  0.3206  0.4269 x1  2 As 2.52-2.55, 2 Mg 2.74-2.76
Pd  0.4488  0.9179  0.2605 x1  4 As 2.56-2.84, 2 Mg 2.77-2.86
Pd  0.4502  0.0227  0.9142 x1  2 As 2.49-2.56, 2 Mg 2.66-2.67
Pd  0.4821  0.4854  0.1746 x1  3 As 2.55-2.62, 1 Mg 2.60, 2 Pd 2.76-2.80
Pd  0.6204  0.6309  0.8757 x1  4 As 2.57-2.85, 2 Mg 2.72-2.78
Pd  0.9203  0.3812  0.0608 x1  4 As 2.55-2.76, 1 Mg 2.68, 2 Pd 2.76-2.80
Pd  0.9712  0.6664  0.5920 x1  3 As 2.51-2.61, 2 Mg 2.77-2.78
Pd  0.9725  0.1122  0.6552 x1  3 As 2.56-2.79

---

Entry 2:
Material: RbPuAs2Pt4
Method: DFT, PBE-GGA
State: relaxed

Output
Crystal system: tetragonal
Electronic total energy, eV for the cell shown: -52.7

abc: 4.0257 4.0257 11.5704
angles: 90.00 90.00 90.00
Closest atoms and distances in Å follow each position.
Space group P4/mmm (No. 123)
One atom of each set of equivalent atoms:
Rb  0.0000  0.0000  0.0000 x1  8 As 3.57
Pu  0.0000  0.0000  0.5000 x1  8 Pt 2.97
As  0.5000  0.5000  0.1857 x2  4 Pt 2.48
Pt  0.0000  0.5000  0.3114 x4  2 As 2.48

---

Entry 3:
Material: Ti3Al2Pt3
Method: DFT, PBE-GGA
State: relaxed

Output
Crystal system: hexagonal
Electronic total energy, eV for the cell shown: -112.8

abc: 7.6308 7.6308 5.0839
angles: 90.00 90.00 120.00
Closest atoms and distances in Å follow each position.
Space group P6_3/mcm (No. 193)
One atom of each set of equivalent atoms:
Ti  0.0000  0.2451  0.2500 x6  5 Pt 2.65-2.79
Al  0.3333  0.6667  0.0000 x4  2 Al 2.54, 6 Pt 2.66
Pt  0.0000  0.3971  0.7500 x6  5 Ti 2.65-2.79, 4 Al 2.66

---

Entry 4:
Material: Si2RuAu
Method: DFT, PBE-GGA
State: relaxed

Output
Crystal system: monoclinic
Energy relative to the lowest polymorph listed for this composition, eV/atom: 0.370
ΔE_f (raw), eV per atom: 0.168

abc: 5.5165 8.1876 3.0824
angles: 90.00 110.96 90.00
Closest atoms and distances in Å follow each position.
Space group C2/m (No. 12)
One atom of each set of equivalent atoms:
Si  0.2500  0.2500  0.0000 x4  2 Ru 2.47, 2 Au 2.47, 2 Si 2.76
Ru  0.0000  0.0000  0.0000 x2  4 Si 2.47, 2 Au 2.76
Au  0.0000  0.5000  0.0000 x2  4 Si 2.47, 2 Ru 2.76

---

Entry 5:
Material: NdGa8Pd4
Method: DFT, PBE-GGA
State: relaxed

Output
Crystal system: tetragonal
Electronic total energy, eV for the cell shown: -114.0

abc: 8.9190 8.9190 5.5693
angles: 90.00 90.00 90.00
Closest atoms and distances in Å follow each position.
Space group I4/mmm (No. 139)
One atom of each set of equivalent atoms:
Nd  0.0000  0.0000  0.0000 x2  12 Ga 3.12-3.40, 8 Pd 3.45
Ga  0.0000  0.2185  0.5000 x8  4 Pd 2.64, 4 Ga 2.76-2.85
Ga  0.0000  0.3496  0.0000 x8  3 Ga 2.68-2.85, 4 Pd 2.77
Pd  0.2500  0.2500  0.2500 x8  8 Ga 2.64-2.77, 2 Pd 2.78

---

Entry 6:
Material: Nb6H2C3N
Method: DFT, PBE-GGA
State: relaxed

Output
Crystal system: monoclinic
Electronic total energy, eV for the cell shown: -220.5

abc: 5.4836 9.4547 5.4343
angles: 90.00 109.82 90.00
Closest atoms and distances in Å follow each position.
Space group C2/m (No. 12)
One atom of each set of equivalent atoms:
Nb  0.2446  0.0000  0.2498 x4  3 C 2.19-2.26, 1 N 2.21, 2 H 2.24
Nb  0.2478  0.1627  0.7598 x8  3 C 2.18-2.26, 1 N 2.21, 2 H 2.26-2.29
H  0.0000  0.3323  0.5000 x4  6 Nb 2.24-2.29
C  0.0000  0.1638  0.0000 x4  6 Nb 2.18-2.26
C  0.0000  0.5000  0.0000 x2  6 Nb 2.18-2.26
N  0.0000  0.0000  0.5000 x2  6 Nb 2.21

---

Entry 7:
Material: ScTl2Te
Method: DFT, PBE-GGA
State: relaxed

Output
Crystal system: tetragonal
Energy relative to the lowest polymorph listed for this composition, eV/atom: 0.185
ΔE_f (raw), eV per atom: -0.236

abc: 4.2746 4.2746 6.2503
angles: 90.00 90.00 90.00
Closest atoms and distances in Å follow each position.
Space group P4/mmm (No. 123)
One atom of each set of equivalent atoms:
Sc  0.0000  0.0000  0.0000 x1  4 Te 3.02
Tl  0.0000  0.5000  0.5000 x2  4 Tl 3.02
Te  0.5000  0.5000  0.0000 x1  4 Sc 3.02

---

Entry 8:
Material: Hf6SiBi2
Method: DFT, PBE-GGA
State: relaxed

Output
Crystal system: monoclinic
ΔE_f (raw), eV per atom: -0.120

abc: 5.7175 7.6487 10.7884
angles: 90.00 120.35 90.00
Closest atoms and distances in Å follow each position.
Space group P2_1/c (No. 14)
One atom of each set of equivalent atoms:
Hf  0.0652  0.1903  0.4514 x4  1 Si 2.69, 3 Bi 2.93-3.01
Hf  0.3197  0.0180  0.2125 x4  1 Si 2.73, 2 Bi 2.97-3.05
Hf  0.3269  0.6728  0.4547 x4  1 Si 2.64, 1 Bi 2.93
Si  0.5000  0.0000  0.5000 x2  6 Hf 2.64-2.73
Bi  0.1572  0.1139  0.7468 x4  9 Hf 2.93-3.14

---

Entry 9:
Material: Al2Sn2S5
Method: DFT, PBE-GGA
State: relaxed

Output
Crystal system: monoclinic
ΔE_f (raw), eV per atom: -0.713

abc: 17.2698 3.6579 9.7057
angles: 90.00 123.08 90.00
Closest atoms and distances in Å follow each position.
Space group C2/m (No. 12)
One atom of each set of equivalent atoms:
Al  0.2046  0.0000  0.3418 x4  4 S 2.21-2.38
Sn  0.0990  0.5000  0.9355 x4  4 S 2.75-2.80
S  0.0000  0.0000  0.0000 x2  4 Sn 2.80
S  0.1487  0.5000  0.4044 x4  3 Al 2.30-2.38
S  0.2304  0.0000  0.1425 x4  1 Al 2.21

---

Entry 10:
Material: RhPb3Br
Method: DFT, PBE-GGA
State: relaxed

Output
Crystal system: cubic
Energy relative to the lowest polymorph listed for this composition, eV/atom: 0.000
ΔE_f (raw), eV per atom: -0.107

abc: 5.3631 5.3631 5.3631
angles: 90.00 90.00 90.00
Closest atoms and distances in Å follow each position.
Space group Pm-3m (No. 221)
One atom of each set of equivalent atoms:
Rh  0.0000  0.0000  0.0000 x1  6 Pb 2.68
Pb  0.0000  0.0000  0.5000 x3  2 Rh 2.68
Br  0.5000  0.5000  0.5000 x1  12 Pb 3.79

---

Entry 11:
Material: BeIn2Ru
Method: DFT, PBE-GGA
State: relaxed

Output
Crystal system: trigonal
Electronic total energy, eV for the cell shown: -52.2

abc: 3.1347 3.1347 25.4152
angles: 90.00 90.00 120.00
Closest atoms and distances in Å follow each position.
Space group R3m (No. 160, hexagonal axes)
One atom of each set of equivalent atoms:
Be  0.0000  0.0000  0.0000 x3  3 Ru 2.28
In  0.0000  0.0000  0.2499 x3  3 Be 2.79
In  0.0000  0.0000  0.4719 x3  3 Ru 2.80
Ru  0.0000  0.0000  0.7213 x3  3 Be 2.28

---

Entry 12:
Material: Mn2IrOs
Method: DFT, PBE-GGA
State: relaxed

Output
Crystal system: tetragonal
Energy relative to the lowest polymorph listed for this composition, eV/atom: 1.237

abc: 5.2981 5.2981 10.4610
angles: 90.00 90.00 90.00
Closest atoms and distances in Å follow each position.
Space group I-42d (No. 122)
One atom of each set of equivalent atoms:
Mn  0.2503  0.2500  0.1250 x8  2 Os 2.28, 2 Ir 2.29
Ir  0.0000  0.0000  0.0000 x4  4 Mn 2.29
Os  0.0000  0.0000  0.5000 x4  4 Mn 2.28

---

Entry 13:
Material: LaMg2Pb2
Method: DFT, PBE-GGA
State: relaxed

Output
Crystal system: orthorhombic
Energy relative to the lowest polymorph listed for this composition, eV/atom: 0.000

abc: 4.6630 25.4389 4.6989
angles: 90.00 90.00 90.00
Closest atoms and distances in Å follow each position.
Space group Cmcm (No. 63)
One atom of each set of equivalent atoms:
La  0.0000  0.1471  0.2500 x4  8 Pb 3.37-3.52, 4 Mg 3.54-3.59
Mg  0.0000  0.0403  0.7500 x4  2 Pb 3.11, 8 Mg 3.12-3.31
Mg  0.0000  0.4576  0.7500 x4  2 Pb 3.09, 8 Mg 3.14-3.31
Pb  0.0000  0.2492  0.7500 x4  4 Pb 3.31, 4 La 3.50-3.52
Pb  0.0000  0.3787  0.2500 x4  4 Mg 3.09-3.11, 4 La 3.37

---

Entry 14:
Material: La2PmCd2Ag2
Method: DFT, PBE-GGA
State: relaxed

Output
Crystal system: trigonal
Electronic total energy, eV for the cell shown: -71.0

abc: 4.9655 4.9655 26.9468
angles: 90.00 90.00 120.00
Closest atoms and distances in Å follow each position.
Space group R-3m (No. 166, hexagonal axes)
One atom of each set of equivalent atoms:
La  0.0000  0.0000  0.1241 x6  3 Cd 3.28, 3 Ag 3.34, 1 Pm 3.35, 3 La 3.67
Pm  0.0000  0.0000  0.0000 x3  6 Ag 3.30, 2 La 3.35, 6 Cd 3.36
Cd  0.0000  0.0000  0.2682 x6  3 Ag 2.87
Ag  0.0000  0.0000  0.3941 x6  3 Cd 2.87

---

Entry 15:
Material: Th8Co3Hg2
Method: DFT, PBE-GGA
State: relaxed

Output
Crystal system: monoclinic
Electronic total energy, eV for the cell shown: -164.0

abc: 15.2490 9.0091 5.8670
angles: 90.00 107.58 90.00
Closest atoms and distances in Å follow each position.
Space group C2/m (No. 12)
One atom of each set of equivalent atoms:
Th  0.0997  0.2478  0.4298 x8  2 Co 2.52-2.80
Th  0.1073  0.5000  0.9299 x4  2 Co 2.80
Th  0.1077  0.0000  0.9344 x4  1 Co 2.58
Co  0.0000  0.0000  0.5000 x2  6 Th 2.58-2.80
Co  0.0000  0.2616  0.0000 x4  4 Th 2.52-2.80
Hg  0.2470  0.5000  0.4979 x4  6 Th 3.14-3.40

---

Entry 16:
Material: La8Nd3Y2
Method: DFT, PBE-GGA
State: relaxed

Output
Crystal system: monoclinic
Energy relative to the lowest polymorph listed for this composition, eV/atom: 0.038

abc: 20.7724 7.7472 5.9439
angles: 90.00 90.01 90.00
Closest atoms and distances in Å follow each position.
Space group C2/m (No. 12)
One atom of each set of equivalent atoms:
La  0.1056  0.2042  0.0003 x8  1 La 3.16, 1 Nd 3.17, 1 Y 3.54
La  0.1355  0.5000  0.5001 x4  2 Nd 3.56, 2 Y 3.70-3.71, 7 La 3.80-3.96
La  0.1747  0.0000  0.5004 x4  2 Y 3.44, 4 La 3.66
Nd  0.0000  0.2177  0.5000 x4  3 Nd 3.37-3.69, 6 La 3.56-3.70
Nd  0.0000  0.5000  0.0000 x2  4 La 3.17
Y  0.2419  0.5000  0.9997 x4  8 La 3.44-3.71

---

Entry 17:
Material: FeTc2GeSb
Method: DFT, PBE-GGA
State: relaxed

Output
Crystal system: tetragonal
ΔE_f (raw), eV per atom: 1.659

abc: 4.9031 4.9031 4.6352
angles: 90.00 90.00 90.00
Closest atoms and distances in Å follow each position.
Space group P4/mmm (No. 123)
One atom of each set of equivalent atoms:
Fe  0.0000  0.0000  0.0000 x1  2 Sb 2.32
Tc  0.0000  0.5000  0.5000 x2  2 Sb 2.45
Ge  0.5000  0.5000  0.0000 x1  8 Tc 3.37, 4 Fe 3.47
Sb  0.0000  0.0000  0.5000 x1  2 Fe 2.32, 4 Tc 2.45

---

Entry 18:
Material: SmHo3In3
Method: DFT, PBE-GGA
State: relaxed

Output
Crystal system: hexagonal
Energy relative to the lowest polymorph listed for this composition, eV/atom: 0.000

abc: 9.3762 9.3762 5.1566
angles: 90.00 90.00 120.00
Closest atoms and distances in Å follow each position.
Space group P6_3/m (No. 176)
One atom of each set of equivalent atoms:
Sm  0.3333  0.6667  0.2500 x2  9 In 3.37-3.44, 3 Ho 3.69
Ho  0.0011  0.7690  0.2500 x6  4 In 3.13-3.34, 4 Ho 3.37
In  0.0700  0.6174  0.7500 x6  4 Ho 3.13-3.34, 2 In 3.21, 3 Sm 3.37-3.44

---

Entry 19:
Material: NaLi2ThCl8
Method: DFT, PBE-GGA
State: relaxed

Output
Crystal system: tetragonal
ΔE_f (raw), eV per atom: -1.711

abc: 9.0323 9.0323 8.2952
angles: 90.00 90.00 90.00
Closest atoms and distances in Å follow each position.
Space group I-4m2 (No. 119)
One atom of each set of equivalent atoms:
Na  0.0000  0.0000  0.0000 x2  8 Cl 2.92-3.26
Li  0.0000  0.0000  0.5000 x2  4 Cl 2.34
Li  0.0000  0.5000  0.7500 x2  4 Cl 2.40
Th  0.0000  0.5000  0.2500 x2  8 Cl 2.75-2.87
Cl  0.0000  0.2032  0.3253 x8  1 Li 2.34
Cl  0.0000  0.3211  0.9636 x8  1 Li 2.40

---

Entry 20:
Material: Tb2Ga4Ir5
Method: DFT, PBE-GGA
State: relaxed

Output
Crystal system: orthorhombic
Electronic total energy, eV for the cell shown: -289.9

abc: 5.6659 9.5023 15.0790
angles: 90.00 90.00 90.00
Closest atoms and distances in Å follow each position.
Space group Fmmm (No. 69)
One atom of each set of equivalent atoms:
Tb  0.0000  0.0000  0.1187 x8  6 Ga 3.20-3.27, 10 Ir 3.29-3.40, 1 Tb 3.58
Ga  0.0000  0.1562  0.3688 x16  5 Ir 2.45-2.59
Ir  0.0000  0.0000  0.5000 x4  4 Ga 2.47, 4 Ir 2.77
Ir  0.2500  0.2500  0.0000 x8  4 Ga 2.59, 4 Ir 2.77-2.83
Ir  0.2500  0.2500  0.2500 x8  4 Ga 2.45

---

Entry 21:
Material: HgPd
Method: DFT, PBE-GGA
State: relaxed

Output
Crystal system: cubic
Electronic total energy, eV for the cell shown: -39.4

abc: 8.2995 8.2995 8.2995
angles: 90.00 90.00 90.00
Closest atoms and distances in Å follow each position.
Space group I-43m (No. 217)
One atom of each set of equivalent atoms:
Hg  0.1986  0.1986  0.8014 x8  4 Pd 2.64-2.79
Pd  0.1177  0.1177  0.1177 x8  4 Hg 2.64-2.79, 3 Pd 2.76

---

Entry 22:
Material: Ho2PuN
Method: DFT, PBE-GGA
State: relaxed

Output
Crystal system: tetragonal
Energy relative to the lowest polymorph listed for this composition, eV/atom: 0.424
ΔE_f (raw), eV per atom: -0.174

abc: 3.0939 3.0939 8.6856
angles: 90.00 90.00 90.00
Closest atoms and distances in Å follow each position.
Space group P4/mmm (No. 123)
One atom of each set of equivalent atoms:
Ho  0.0000  0.0000  0.1636 x2  4 N 2.61, 1 Ho 2.84
Pu  0.5000  0.5000  0.5000 x1  4 Pu 3.09
N  0.5000  0.5000  0.0000 x1  8 Ho 2.61